# 1
The following is a PBE calculation of a relaxed structure of BaMgSi2Au2, from Alexandria via LeMat-Bulk.

```
BaMgSi2Au2
1.0
4.379 0.000 0.000
-2.190 3.792 0.000
0.000 0.000 7.989
Ba Mg Si Au
1 1 2 2
Cartesian
0.000 0.000 0.000
0.000 0.000 3.994
0.000 2.528 5.660
2.190 1.264 2.329
0.000 2.528 2.615
2.190 1.264 5.374
```

Computed properties:
Energy, eV per cell: -23.7

# 2
The following is a PBE calculation of a relaxed structure of SmGa2NiRh, from Alexandria via LeMat-Bulk.

```
SmGa2NiRh
1.0
-2.055 2.055 5.246
2.055 -2.055 5.246
2.055 2.055 -5.246
Sm Ga Ni Rh
1 2 1 1
Cartesian
0.000 0.000 0.000
0.000 0.000 3.947
0.000 0.000 6.544
2.055 0.000 2.623
0.000 2.055 2.623
```

Computed properties:
Energy relative to the elements, meV/atom: -664
Energy, eV per cell: -27.2